# 1
A relaxed Si2Se crystal, computed with PBE.

Results
SG = Fm-3m, No. 225
energy above the most stable polymorph in this dataset = 1.065 eV/atom
V = 20.99 Å³ per atom
formation energy (no corrections) = 0.90 eV per atom
size of the total moment = 0.00 μB/atom

Cell: 4.4654 4.4654 4.4654 Å, 60.00 60.00 60.00°
Element x y z (fractional)
Se 0.0000 0.0000 0.0000
Si 0.7500 0.7500 0.7500
Si 0.2500 0.2500 0.2500



# 2
A relaxed ThPaCo10 crystal, computed with PBE.

Results
SG = Pmmm, No. 47
ΔE_f = -2.038 eV/f.u.
V = 13.86 Å³ per atom
size of the total moment = 0.92 μB/atom

Cell: 4.0356 4.8573 8.4830 Å, 90.00 90.00 90.00°
Element x y z (fractional)
Th 0.0000 0.5000 0.5000
Pa 0.0000 0.0000 0.0000
Co 0.0000 0.0000 0.3073
Co 0.0000 0.5000 0.8437
Co 0.0000 0.5000 0.1563
Co 0.0000 0.0000 0.6927
Co 0.5000 0.0000 0.5000
Co 0.5000 0.5000 0.0000
Co 0.5000 0.2516 0.2484
Co 0.5000 0.7484 0.7516
Co 0.5000 0.7484 0.2484
Co 0.5000 0.2516 0.7516



# 3
A relaxed K2LuSbO7 crystal, computed with PBE.

Results
SG = Imma, No. 74
V = 16.94 Å³ per atom
formation energy (no corrections) = -1.44 eV per atom
size of the total moment = 0.24 μB/atom

Cell: 8.0657 8.0657 8.0657 Å, 121.03 118.26 90.63°
Element x y z (fractional)
K 0.5000 0.5000 0.0000
K 0.0000 0.0000 0.0000
K 0.0000 0.0000 0.5000
K 0.0000 0.5000 0.0000
Lu 0.5000 0.0000 0.0000
Lu 0.5000 0.5000 0.5000
Sb 0.0000 0.5000 0.5000
Sb 0.5000 0.0000 0.5000
O 0.8869 0.5902 0.2967
O 0.2064 0.9098 0.2967
O 0.1851 0.4328 0.3947
O 0.4618 0.0672 0.7523
O 0.4618 0.7096 0.3947
O 0.1851 0.7904 0.7523
O 0.8149 0.2096 0.2477
O 0.5382 0.2904 0.6053
O 0.5382 0.9328 0.2477
O 0.8149 0.5672 0.6053
O 0.3933 0.2500 0.1433
O 0.1131 0.4098 0.7033
O 0.7936 0.0902 0.7033
O 0.6067 0.7500 0.8567



# 4
A relaxed BeBiI2O crystal, computed with PBE.

Results
SG = P4/mmm, No. 123
energy above the most stable polymorph in this dataset = 0.946 eV/atom
V = 33.65 Å³ per atom
formation energy (no corrections) = 0.32 eV per atom
size of the total moment = 0.15 μB/atom

Cell: 6.2563 6.2563 4.2985 Å, 90.00 90.00 90.00°
Element x y z (fractional)
I 0.0000 0.5000 0.0000
I 0.5000 0.0000 0.0000
Be 0.5000 0.5000 0.5000
Bi 0.0000 0.0000 0.0000
O 0.0000 0.0000 0.5000



# 5
A relaxed MnRe2Se crystal, computed with PBE.

Results
SG = P4/mmm, No. 123
V = 15.29 Å³ per atom
formation energy (no corrections) = 0.73 eV per atom
size of the total moment = 0.77 μB/atom

Cell: 4.3715 3.7405 3.7405 Å, 90.00 90.00 90.00°
Element x y z (fractional)
Mn 0.5000 0.0000 0.5000
Re 0.0000 0.0000 0.0000
Re 0.0000 0.5000 0.5000
Se 0.5000 0.5000 0.0000



# 6
A relaxed MnNbSN2 crystal, computed with PBE.

Results
SG = P4/mmm, No. 123
energy above the most stable polymorph in this dataset = 0.233 eV/atom
V = 12.31 Å³ per atom
formation energy (no corrections) = 0.47 eV per atom
size of the total moment = 0.42 μB/atom

Cell: 3.6677 3.6677 4.5767 Å, 90.00 90.00 90.00°
Element x y z (fractional)
Nb 0.5000 0.5000 0.5000
Mn 0.0000 0.0000 0.0000
S 0.0000 0.0000 0.5000
N 0.0000 0.5000 0.0000
N 0.5000 0.0000 0.0000



# 7
A relaxed AcPrHoCd crystal, computed with PBE.

Results
SG = F-43m, No. 216
ΔE_f = 0.237 eV/f.u.
energy above the most stable polymorph in this dataset = 0.190 eV/atom
V = 32.56 Å³ per atom
size of the total moment = 0.00 μB/atom

Cell: 5.6899 5.6899 5.6899 Å, 60.00 60.00 60.00°
Element x y z (fractional)
Pr 0.7500 0.7500 0.7500
Ac 0.0000 0.0000 0.0000
Ho 0.2500 0.2500 0.2500
Cd 0.5000 0.5000 0.5000



# 8
A relaxed Pm2Dy6Er3Pb crystal, computed with PBE.

Results
SG = C2/m, No. 12
ΔE_f = -0.752 eV/f.u.
V = 30.89 Å³ per atom
size of the total moment = 0.00 μB/atom

Cell: 6.0869 6.0869 11.7326 Å, 94.97 94.97 120.02°
Element x y z (fractional)
Pm 0.3339 0.6661 0.0000
Pm 0.6661 0.3339 0.0000
Dy 0.9166 0.5891 0.7484
Dy 0.7564 0.7564 0.2527
Dy 0.0834 0.4109 0.2516
Dy 0.5891 0.9166 0.7484
Dy 0.2436 0.2436 0.7473
Dy 0.4109 0.0834 0.2516
Er 0.1674 0.8326 0.5000
Er 0.8326 0.1674 0.5000
Er 0.5000 0.5000 0.5000
Pb 0.0000 0.0000 0.0000



# 9
A relaxed AcGe2Rh4 crystal, computed with PBE.

Results
SG = P4_2/mnm, No. 136
ΔE_f = -4.405 eV/f.u.
energy above the most stable polymorph in this dataset = 0.000 eV/atom
V = 17.67 Å³ per atom
size of the total moment = 0.00 μB/atom

Cell: 3.9234 7.9415 7.9415 Å, 90.00 90.00 90.00°
Element x y z (fractional)
Ac 0.5000 0.0000 0.0000
Ac 0.0000 0.5000 0.5000
Ge 0.0000 0.2273 0.7727
Ge 0.0000 0.7727 0.2273
Ge 0.5000 0.7273 0.7273
Ge 0.5000 0.2727 0.2727
Rh 0.0000 0.0777 0.3419
Rh 0.0000 0.9223 0.6581
Rh 0.5000 0.1581 0.5777
Rh 0.5000 0.8419 0.4223
Rh 0.5000 0.4223 0.8419
Rh 0.5000 0.5777 0.1581
Rh 0.0000 0.3419 0.0777
Rh 0.0000 0.6581 0.9223



# 10
A relaxed La2YTl3Te6 crystal, computed with PBE.

Results
SG = C2/m, No. 12
V = 37.30 Å³ per atom
formation energy (no corrections) = -1.12 eV per atom
size of the total moment = 0.00 μB/atom

Cell: 7.9603 7.9603 8.5759 Å, 98.92 98.92 119.97°
Element x y z (fractional)
La 0.3337 0.6663 0.0000
La 0.6663 0.3337 0.0000
Y 0.0000 0.0000 0.0000
Tl 0.1689 0.8311 0.5000
Tl 0.8311 0.1689 0.5000
Tl 0.5000 0.5000 0.5000
Te 0.9274 0.6048 0.7819
Te 0.7513 0.7513 0.2209
Te 0.0726 0.3952 0.2181
Te 0.6048 0.9274 0.7819
Te 0.2487 0.2487 0.7791
Te 0.3952 0.0726 0.2181



# 11
A relaxed Y3AsSe2 crystal, computed with PBE.

Results
SG = Immm, No. 71
V = 24.39 Å³ per atom
formation energy (no corrections) = -1.75 eV per atom
size of the total moment = 0.00 μB/atom

Cell: 4.0910 5.7816 7.1286 Å, 113.92 106.68 90.00°
Element x y z (fractional)
Y 0.8409 0.3409 0.1817
Y 0.1591 0.6591 0.8183
Y 0.5000 0.0000 0.5000
As 0.5000 0.5000 0.5000
Se 0.8313 0.8313 0.1626
Se 0.1687 0.1687 0.8374



# 12
A relaxed LiCaCl crystal, computed with PBE.

Results
SG = C2/m, No. 12
energy above the most stable polymorph in this dataset = 0.013 eV/atom
V = 25.20 Å³ per atom
formation energy (no corrections) = -1.07 eV per atom
size of the total moment = 0.00 μB/atom

Cell: 6.2024 3.7627 13.5420 Å, 90.00 106.89 90.00°
Element x y z (fractional)
Li 0.1587 0.0000 0.8694
Li 0.8413 0.0000 0.1306
Li 0.1587 0.5000 0.3694
Li 0.8413 0.5000 0.6306
Ca 0.6869 0.0000 0.4109
Ca 0.3131 0.0000 0.5891
Ca 0.6869 0.5000 0.9109
Ca 0.3131 0.5000 0.0891
Cl 0.2488 0.0000 0.2459
Cl 0.7512 0.0000 0.7541
Cl 0.2488 0.5000 0.7459
Cl 0.7512 0.5000 0.2541



Q: The lowest V belongs to which entry?
A: MnNbSN2



Q: Number 6 is which compound?
A: MnNbSN2